Version P
This record from Alexandria via LeMat-Bulk describes PmDyCd after structural relaxation. The functional is PBE.

The structure in POSCAR format:
```
PmDyCd
1.0
-2.603 2.603 3.677
2.603 -2.603 3.677
2.603 2.603 -3.677
Pm Dy Cd
1 1 1
direct
0.000 0.000 0.000 Pm
0.500 0.500 0.000 Dy
0.250 0.750 0.500 Cd
```

***

Version Q
This record from Alexandria via LeMat-Bulk describes PmDyCd after structural relaxation. The functional is PBE.

The structure in POSCAR format:
```
PmDyCd
1.0
1.735 -9.851 0.000
1.735 9.851 0.000
0.000 0.000 5.199
Pm Dy Cd
2 2 2
direct
0.128 0.872 0.750 Pm
0.872 0.128 0.250 Pm
0.456 0.544 0.750 Dy
0.544 0.456 0.250 Dy
0.295 0.705 0.750 Cd
0.705 0.295 0.250 Cd
```

***

Here are the energies relative to the best structure, in eV/atom: version P 0.123; version Q 0.000.

***

Version P
This record from Alexandria via LeMat-Bulk describes PmDy2Cd2 after structural relaxation. The functional is PBE.

The structure in POSCAR format:
```
PmDy2Cd2
1.0
5.873 -1.811 0.000
5.873 1.811 0.000
-5.233 0.000 6.596
Pm Dy Cd
1 2 2
direct
0.000 0.000 0.000 Pm
0.167 0.167 0.768 Dy
0.833 0.833 0.232 Dy
0.377 0.377 0.594 Cd
0.623 0.623 0.406 Cd
```

***

Version Q
This record from Alexandria via LeMat-Bulk describes PmDy2Cd2 after structural relaxation. The functional is PBE.

The structure in POSCAR format:
```
PmDy2Cd2
1.0
3.743 0.000 0.000
0.000 5.417 0.000
-1.874 0.000 13.821
Pm Dy Cd
2 4 4
direct
0.149 0.250 0.297 Pm
0.851 0.750 0.703 Pm
0.047 0.750 0.093 Dy
0.236 0.750 0.473 Dy
0.764 0.250 0.527 Dy
0.953 0.250 0.907 Dy
0.358 0.250 0.717 Cd
0.451 0.750 0.902 Cd
0.549 0.250 0.098 Cd
0.642 0.750 0.283 Cd
```

***

Here are the energies relative to the best structure, in eV/atom: version P 0.072; version Q 0.000.

***

Version P
This record from Alexandria via LeMat-Bulk describes Pm3DyCd after structural relaxation. The functional is PBE.

The structure in POSCAR format:
```
Pm3DyCd
1.0
3.734 0.000 0.000
1.867 6.548 0.000
0.000 0.814 12.853
Pm Dy Cd
6 2 2
direct
0.040 0.420 0.190 Pm
0.146 0.208 0.445 Pm
0.365 0.769 0.026 Pm
0.635 0.231 0.974 Pm
0.854 0.792 0.555 Pm
0.960 0.580 0.810 Pm
0.228 0.046 0.752 Dy
0.772 0.954 0.248 Dy
0.439 0.622 0.371 Cd
0.561 0.378 0.629 Cd
```

***

Version Q
This record from Alexandria via LeMat-Bulk describes Pm3DyCd after structural relaxation. The functional is PBE.

The structure in POSCAR format:
```
Pm3DyCd
1.0
3.798 0.000 0.000
0.000 9.424 0.000
-1.893 0.000 9.391
Pm Dy Cd
6 2 2
direct
0.097 0.006 0.194 Pm
0.097 0.494 0.194 Pm
0.298 0.250 0.597 Pm
0.702 0.750 0.403 Pm
0.903 0.506 0.806 Pm
0.903 0.994 0.806 Pm
0.490 0.250 0.980 Dy
0.510 0.750 0.020 Dy
0.335 0.750 0.671 Cd
0.665 0.250 0.329 Cd
```

***

Here are the energies relative to the best structure, in eV/atom: version P 0.000; version Q 0.160.

***

Version P
This record from Alexandria via LeMat-Bulk describes Pm2DyCd after structural relaxation. The functional is PBE.

The structure in POSCAR format:
```
Pm2DyCd
1.0
3.686 0.000 0.000
0.000 3.686 0.000
0.000 0.000 9.027
Pm Dy Cd
2 1 1
direct
0.000 0.000 0.227 Pm
0.000 0.000 0.773 Pm
0.500 0.500 0.500 Dy
0.500 0.500 0.000 Cd
```

***

Version Q
This record from Alexandria via LeMat-Bulk describes Pm2DyCd after structural relaxation. The functional is PBE.

The structure in POSCAR format:
```
Pm2DyCd
1.0
3.669 -3.669 0.000
3.669 3.669 0.000
-3.667 0.000 9.036
Pm Dy Cd
4 2 2
direct
0.000 0.500 0.000 Pm
0.136 0.136 0.272 Pm
0.500 0.000 0.000 Pm
0.864 0.864 0.728 Pm
0.360 0.360 0.719 Dy
0.640 0.640 0.281 Dy
0.249 0.751 0.500 Cd
0.751 0.249 0.500 Cd
```

***

Here are the energies relative to the best structure, in eV/atom: version P 0.014; version Q 0.000.

***

Version P
This record from Alexandria via LeMat-Bulk describes Pm6Dy2Cd after structural relaxation. The functional is PBE.

The structure in POSCAR format:
```
Pm6Dy2Cd
1.0
8.551 -4.917 0.000
8.551 4.917 0.000
-0.004 0.000 3.419
Pm Dy Cd
6 2 1
direct
0.172 0.500 0.000 Pm
0.175 0.825 0.000 Pm
0.500 0.172 0.000 Pm
0.500 0.828 0.000 Pm
0.825 0.175 0.000 Pm
0.828 0.500 0.000 Pm
0.166 0.166 0.500 Dy
0.834 0.834 0.500 Dy
0.500 0.500 0.500 Cd
```

***

Version Q
This record from Alexandria via LeMat-Bulk describes Pm6Dy2Cd after structural relaxation. The functional is PBE.

The structure in POSCAR format:
```
Pm6Dy2Cd
1.0
7.249 -4.517 0.000
7.249 4.517 0.000
-0.470 0.000 8.927
Pm Dy Cd
12 4 2
direct
0.100 0.720 0.873 Pm
0.109 0.610 0.486 Pm
0.280 0.900 0.627 Pm
0.338 0.464 0.142 Pm
0.390 0.891 0.014 Pm
0.464 0.338 0.642 Pm
0.536 0.662 0.358 Pm
0.610 0.109 0.986 Pm
0.662 0.536 0.858 Pm
0.720 0.100 0.373 Pm
0.891 0.390 0.514 Pm
0.900 0.280 0.127 Pm
0.141 0.299 0.840 Dy
0.299 0.141 0.340 Dy
0.701 0.859 0.660 Dy
0.859 0.701 0.160 Dy
0.113 0.887 0.250 Cd
0.887 0.113 0.750 Cd
```

***

Here are the energies relative to the best structure, in eV/atom: version P 0.000; version Q 0.028.

***

Version P
This record from Alexandria via LeMat-Bulk describes PmDyScCd after structural relaxation. The functional is PBE.

The structure in POSCAR format:
```
PmDyScCd
1.0
3.542 0.000 0.000
0.000 3.542 0.000
0.000 0.000 8.805
Pm Dy Sc Cd
1 1 1 1
direct
0.000 0.000 0.000 Pm
0.500 0.500 0.708 Dy
0.500 0.500 0.268 Sc
0.000 0.000 0.467 Cd
```

***

Version Q
This record from Alexandria via LeMat-Bulk describes PmDyScCd after structural relaxation. The functional is PBE.

The structure in POSCAR format:
```
PmDyScCd
1.0
0.000 3.808 3.808
3.808 0.000 3.808
3.808 3.808 0.000
Pm Dy Sc Cd
1 1 1 1
direct
0.000 0.000 0.000 Pm
0.500 0.500 0.500 Dy
0.250 0.250 0.250 Sc
0.750 0.750 0.750 Cd
```

***

Here are the energies relative to the best structure, in eV/atom: version P 0.000; version Q 0.076.